CeHfRh4 | PBE | relaxed

Output
symmetry: F-43m (216)
DOS(E_F): 7.8 states/eV/cell
density: 11.61 g/cm³
total magnetic moment: 0.00 μB per cell
total DFT energy (no corrections): -8.137 eV/atom

Structure (POSCAR):
```
CeHfRh4
1.0
5.286 0.000 0.000
2.643 4.577 0.000
2.643 1.526 4.316
Hf Ce Rh
1 1 4
Cartesian
0.000 0.000 0.000
2.643 1.526 1.079
5.286 1.520 2.699
6.612 3.818 2.699
3.959 3.818 2.699
5.286 3.052 0.533
```